VASP calculation (PBE) on InAs2W after structural relaxation. Values from VASP.

Calculated values
Its total magnetization is 0.00 μB/f.u. As for the space-group type: C2/m (12). The value obtained for the formation enthalpy at 0 K is 1.34 eV per formula unit. The volume is 77 Å³ per cell.

```
&SYSTEM
  ibrav = 0, nat = 4, ntyp = 3
/
ATOMIC_SPECIES
W 183.84 W.upf
In 114.82 In.upf
As 74.92 As.upf
CELL_PARAMETERS angstrom
4.796 -0.002 -0.015
3.747 2.992 -0.015
0.815 0.285 5.373
ATOMIC_POSITIONS crystal
W 0.250 0.250 0.250
In 0.750 0.750 0.750
As 0.530 0.530 0.445
As 0.970 0.970 0.055
```

VASP calculation (PBE) on Y2In2As after structural relaxation. Values from VASP.

Calculated values
Its total magnetization is 0.00 μB/f.u. As for the space-group type: P4/mbm (127). The value obtained for the formation enthalpy at 0 K is -2.20 eV per formula unit. The volume is 263 Å³ per cell. The energy above the most stable polymorph in this dataset comes out at 13.5 kJ per mole of atoms.

```
&SYSTEM
  ibrav = 0, nat = 10, ntyp = 3
/
ATOMIC_SPECIES
In 114.82 In.upf
Y 88.91 Y.upf
As 74.92 As.upf
CELL_PARAMETERS angstrom
-7.063 0.032 2.795
-0.172 -7.586 -0.348
1.673 -0.232 4.229
ATOMIC_POSITIONS crystal
In 0.864 0.636 0.000
In 0.136 0.364 0.000
In 0.364 0.864 0.000
In 0.636 0.136 0.000
Y 0.167 0.667 0.500
Y 0.667 0.833 0.500
Y 0.333 0.167 0.500
Y 0.833 0.333 0.500
As 0.000 0.000 0.000
As 0.500 0.500 0.000
```

VASP calculation (PBE) on YInAs after structural relaxation. Values from VASP.

Calculated values
Its total magnetization is 0.00 μB/f.u. As for the space-group type: Fmm2 (42). The value obtained for the formation enthalpy at 0 K is -1.57 eV per formula unit. The volume is 74 Å³ per cell.

```
&SYSTEM
  ibrav = 0, nat = 3, ntyp = 3
/
ATOMIC_SPECIES
Y 88.91 Y.upf
As 74.92 As.upf
In 114.82 In.upf
CELL_PARAMETERS angstrom
-1.018 1.189 -6.063
-3.758 -0.829 -4.699
-1.715 3.219 -0.381
ATOMIC_POSITIONS crystal
Y 0.646 0.646 0.354
As 0.007 0.007 0.993
In 0.347 0.347 0.653
```

VASP calculation (PBE) on YInAs after structural relaxation. Values from VASP.

Calculated values
Its total magnetization is 0.00 μB/f.u. As for the space-group type: F-43m (216). The value obtained for the formation enthalpy at 0 K is -1.13 eV per formula unit. The volume is 85 Å³ per cell.

```
&SYSTEM
  ibrav = 0, nat = 3, ntyp = 3
/
ATOMIC_SPECIES
In 114.82 In.upf
As 74.92 As.upf
Y 88.91 Y.upf
CELL_PARAMETERS angstrom
4.926 0.000 0.000
2.463 4.266 0.000
2.463 1.422 4.022
ATOMIC_POSITIONS crystal
In 0.000 0.000 0.000
As 0.750 0.750 0.750
Y 0.500 0.500 0.500
```

VASP calculation (PBE) on Y3InAs after structural relaxation. Values from VASP.

Calculated values
Its total magnetization is 0.00 μB/f.u. As for the space-group type: Pm-3m (221). The value obtained for the formation enthalpy at 0 K is -2.99 eV per formula unit. The volume is 154 Å³ per cell. The energy above the most stable polymorph in this dataset comes out at 0.0 kJ per mole of atoms.

```
&SYSTEM
  ibrav = 0, nat = 5, ntyp = 3
/
ATOMIC_SPECIES
In 114.82 In.upf
Y 88.91 Y.upf
As 74.92 As.upf
CELL_PARAMETERS angstrom
5.362 0.000 0.000
0.000 5.362 0.000
0.000 0.000 5.362
ATOMIC_POSITIONS crystal
In 0.500 0.500 0.500
Y 0.000 0.000 0.500
Y 0.500 0.000 0.000
Y 0.000 0.500 0.000
As 0.000 0.000 0.000
```

VASP calculation (PBE) on Y2In2As after structural relaxation. Values from VASP.

Calculated values
Its total magnetization is 0.00 μB/f.u. As for the space-group type: P4/mbm (127). The value obtained for the formation enthalpy at 0 K is -2.90 eV per formula unit. The volume is 279 Å³ per cell. The energy above the most stable polymorph in this dataset comes out at 0.0 kJ per mole of atoms.

```
&SYSTEM
  ibrav = 0, nat = 10, ntyp = 3
/
ATOMIC_SPECIES
Y 88.91 Y.upf
As 74.92 As.upf
In 114.82 In.upf
CELL_PARAMETERS angstrom
7.533 0.000 0.000
0.000 7.533 0.000
0.000 0.000 4.918
ATOMIC_POSITIONS crystal
Y 0.833 0.667 0.000
Y 0.667 0.167 0.000
Y 0.333 0.833 0.000
Y 0.167 0.333 0.000
As 0.500 0.500 0.000
As 0.000 0.000 0.000
In 0.641 0.859 0.500
In 0.859 0.359 0.500
In 0.141 0.641 0.500
In 0.359 0.141 0.500
```

VASP calculation (PBE) on YInAs4 after structural relaxation. Values from VASP.

Calculated values
Its total magnetization is 0.00 μB/f.u. As for the space-group type: F-43m (216). The value obtained for the formation enthalpy at 0 K is -0.74 eV per formula unit. The volume is 133 Å³ per cell.

```
&SYSTEM
  ibrav = 0, nat = 6, ntyp = 3
/
ATOMIC_SPECIES
As 74.92 As.upf
Y 88.91 Y.upf
In 114.82 In.upf
CELL_PARAMETERS angstrom
0.000 4.050 4.050
4.050 0.000 4.050
4.050 4.050 0.000
ATOMIC_POSITIONS crystal
As 0.376 0.376 0.376
As 0.376 0.376 0.871
As 0.376 0.871 0.376
As 0.871 0.376 0.376
Y 0.000 0.000 0.000
In 0.750 0.750 0.750
```

VASP calculation (PBE) on YInAs after structural relaxation. Values from VASP.

Calculated values
Its total magnetization is 0.00 μB/f.u. As for the space-group type: I4mm (107). The value obtained for the formation enthalpy at 0 K is -1.77 eV per formula unit. The volume is 92 Å³ per cell.

```
&SYSTEM
  ibrav = 0, nat = 3, ntyp = 3
/
ATOMIC_SPECIES
Y 88.91 Y.upf
In 114.82 In.upf
As 74.92 As.upf
CELL_PARAMETERS angstrom
6.394 -0.069 0.000
3.952 5.026 0.000
-5.173 -2.479 2.825
ATOMIC_POSITIONS crystal
Y 0.597 0.597 0.000
In 0.322 0.322 0.000
As 0.081 0.081 0.000
```

VASP calculation (PBE) on YInAs after structural relaxation. Values from VASP.

Calculated values
Its total magnetization is 0.00 μB/f.u. As for the space-group type: P3m1 (156). The value obtained for the formation enthalpy at 0 K is -1.39 eV per formula unit. The volume is 75 Å³ per cell.

```
&SYSTEM
  ibrav = 0, nat = 3, ntyp = 3
/
ATOMIC_SPECIES
Y 88.91 Y.upf
As 74.92 As.upf
In 114.82 In.upf
CELL_PARAMETERS angstrom
4.750 0.000 0.000
-2.375 4.113 0.000
0.000 0.000 3.834
ATOMIC_POSITIONS crystal
Y 0.333 0.667 0.667
As 0.000 0.000 0.165
In 0.667 0.333 0.168
```

VASP calculation (PBE) on YIn2As2 after structural relaxation. Values from VASP.

Calculated values
Its total magnetization is 0.00 μB/f.u. As for the space-group type: P4/mbm (127). The value obtained for the formation enthalpy at 0 K is -1.89 eV per formula unit. The volume is 239 Å³ per cell.

```
&SYSTEM
  ibrav = 0, nat = 10, ntyp = 3
/
ATOMIC_SPECIES
As 74.92 As.upf
In 114.82 In.upf
Y 88.91 Y.upf
CELL_PARAMETERS angstrom
7.635 0.000 0.000
0.000 7.635 0.000
0.000 0.000 4.092
ATOMIC_POSITIONS crystal
As 0.152 0.348 0.000
As 0.348 0.848 0.000
As 0.652 0.152 0.000
As 0.848 0.652 0.000
In 0.344 0.156 0.500
In 0.656 0.844 0.500
In 0.844 0.344 0.500
In 0.156 0.656 0.500
Y 0.000 0.000 0.000
Y 0.500 0.500 0.000
```

VASP calculation (PBE) on YIn4As after structural relaxation. Values from VASP.

Calculated values
Its total magnetization is 0.00 μB/f.u. As for the space-group type: F-43m (216). The value obtained for the formation enthalpy at 0 K is 0.11 eV per formula unit. The volume is 154 Å³ per cell.

```
&SYSTEM
  ibrav = 0, nat = 6, ntyp = 3
/
ATOMIC_SPECIES
As 74.92 As.upf
In 114.82 In.upf
Y 88.91 Y.upf
CELL_PARAMETERS angstrom
0.000 4.255 4.255
4.255 0.000 4.255
4.255 4.255 0.000
ATOMIC_POSITIONS crystal
As 0.000 0.000 0.000
In 0.375 0.876 0.375
In 0.375 0.375 0.375
In 0.876 0.375 0.375
In 0.375 0.375 0.876
Y 0.750 0.750 0.750
```

VASP calculation (PBE) on YInAs after structural relaxation. Values from VASP.

Calculated values
Its total magnetization is 0.00 μB/f.u. As for the space-group type: R-3m (166). The value obtained for the formation enthalpy at 0 K is -2.04 eV per formula unit. The volume is 174 Å³ per cell.

```
&SYSTEM
  ibrav = 0, nat = 6, ntyp = 3
/
ATOMIC_SPECIES
As 74.92 As.upf
Y 88.91 Y.upf
In 114.82 In.upf
CELL_PARAMETERS angstrom
4.916 0.000 0.000
2.458 4.257 0.000
2.458 1.419 8.319
ATOMIC_POSITIONS crystal
As 0.283 0.283 0.150
As 0.717 0.717 0.850
Y 0.603 0.603 0.191
Y 0.397 0.397 0.809
In 0.173 0.173 0.482
In 0.827 0.827 0.518
```